VASP calculation (PBE with a Hubbard U) on Li2TiFeO4 after structural relaxation.

Values from the calculation:
**Energy**: -6.927 eV per atom
**Distance to the lowest polymorph of the same formula**: 0.001 eV per atom

a = 4.0110 Å, b = 4.3132 Å, c = 5.3486 Å
α = 113.56°, β = 111.97°, γ = 90.15°
Closest atoms and distances in Å follow each position.
Space group P1 (No. 1)
Symmetry-distinct sites (fractional):
Li (0.0000, 0.0000, 0.0000) (multiplicity 1)  5 O 2.01-2.23
Li (0.2840, 0.8120, 0.5753) (multiplicity 1)  5 O 2.04-2.28
Ti (0.7263, 0.2935, 0.4812) (multiplicity 1)  4 O 1.85-1.97
Fe (0.5048, 0.5022, 0.0082) (multiplicity 1)  5 O 2.04-2.18
O (0.2492, 0.2505, 0.4926) (multiplicity 1)  2 Ti 1.95-2.09, 1 Li 2.10
O (0.5277, 0.0195, 0.0515) (multiplicity 1)  1 Ti 1.94, 3 Li 2.01-2.13, 1 Fe 2.15
O (0.7454, 0.7291, 0.4950) (multiplicity 1)  1 Ti 1.85, 2 Li 2.04-2.05
O (0.9603, 0.4476, 0.9162) (multiplicity 1)  1 Ti 1.97, 2 Fe 2.04-2.05, 1 Li 2.14